Model a:
Entry from Alexandria: an optimized crystal structure of Sm8RhAu2 (PBE).

It has space group C2/m (No. 12), with a = 17.788 Å, b = 5.150 Å, c = 6.950 Å, α = 90.00°, β = 101.04° and γ = 90.00°. Symmetry generates all atoms from Sm at (0.028, 0.000, 0.281), Sm at (0.088, 0.500, 0.942), Sm at (0.158, 0.500, 0.468), Sm at (0.203, 0.000, 0.824), Rh at (0.000, 0.500, 0.500) and Au at (0.193, 0.000, 0.240).



Model b:
Entry from Alexandria: an optimized crystal structure of Sm8RhAu2 (PBE).

It has space group Cm (No. 8), with a = 7.498 Å, b = 16.645 Å, c = 6.123 Å, α = 90.00°, β = 122.05° and γ = 90.00°. Symmetry generates all atoms from Sm at (0.000, 0.000, 0.000), Sm at (0.000, 0.115, 0.472), Sm at (0.230, 0.304, 0.800), Sm at (0.443, 0.119, 0.139), Sm at (0.466, 0.000, 0.677), Rh at (0.218, 0.500, 0.479) and Au at (0.219, 0.231, 0.297).



So which one is most stable? That would be model a, about 65 meV per atom below the next structure.



Model a:
Entry from Alexandria: an optimized crystal structure of Sm2Rh2Au (PBE).

It has space group Cmmm (No. 65), with a = 3.968 Å, b = 14.516 Å, c = 3.850 Å, α = 90.00°, β = 90.00° and γ = 90.00°. Symmetry generates all atoms from Sm at (0.000, 0.134, 0.000), Rh at (0.000, 0.310, 0.500) and Au at (0.000, 0.500, 0.500).



Model b:
Entry from Alexandria: an optimized crystal structure of Sm2Rh2Au (PBE).

It has space group P4/mbm (No. 127), with a = 7.423 Å, b = 7.423 Å, c = 3.876 Å, α = 90.00°, β = 90.00° and γ = 90.00°. Symmetry generates all atoms from Sm at (0.173, 0.327, 0.000), Rh at (0.132, 0.632, 0.500) and Au at (0.000, 0.000, 0.500).



So which one is most stable? That would be model b, about 17 meV per atom below the next structure.



Model a:
Entry from Alexandria: an optimized crystal structure of Sm7Rh2Au2 (PBE).

It has space group Cmmm (No. 65), with a = 7.943 Å, b = 11.043 Å, c = 7.159 Å, α = 90.00°, β = 90.00° and γ = 90.00°. Symmetry generates all atoms from Sm at (0.000, 0.000, 0.000), Sm at (0.000, 0.500, 0.253), Sm at (0.250, 0.250, 0.260), Rh at (0.000, 0.291, 0.000) and Au at (0.185, 0.000, 0.500).



Model b:
Entry from Alexandria: an optimized crystal structure of Sm7Rh2Au2 (PBE).

It has space group Imm2 (No. 44), with a = 3.948 Å, b = 15.805 Å, c = 9.702 Å, α = 90.00°, β = 90.00° and γ = 90.00°. Symmetry generates all atoms from Sm at (0.000, 0.000, 0.000), Sm at (0.000, 0.107, 0.628), Sm at (0.000, 0.310, 0.407), Sm at (0.000, 0.384, 0.786), Rh at (0.000, 0.000, 0.381), Rh at (0.000, 0.500, 0.295) and Au at (0.000, 0.236, 0.119).



So which one is most stable? That would be model b, about 120 meV per atom below the next structure.



Model a:
Entry from Alexandria: an optimized crystal structure of Sm3RhAu2 (PBE).

It has space group C2/c (No. 15), with a = 13.674 Å, b = 5.948 Å, c = 8.181 Å, α = 90.00°, β = 107.43° and γ = 90.00°. Symmetry generates all atoms from Sm at (0.000, 0.001, 0.250), Sm at (0.148, 0.499, 0.074), Rh at (0.000, 0.499, 0.750) and Au at (0.174, 0.001, 0.587).



Model b:
Entry from Alexandria: an optimized crystal structure of Sm3RhAu2 (PBE).

It has space group Pnma (No. 62), with a = 12.237 Å, b = 4.545 Å, c = 10.875 Å, α = 90.00°, β = 90.00° and γ = 90.00°. Symmetry generates all atoms from Sm at (0.050, 0.250, 0.122), Sm at (0.111, 0.750, 0.558), Sm at (0.243, 0.250, 0.790), Rh at (0.124, 0.250, 0.370), Au at (0.007, 0.250, 0.703) and Au at (0.187, 0.750, 0.008).



So which one is most stable? That would be model b, about 33 meV per atom below the next structure.